1.
Na2HoNpO4 PBE relaxed; SG = P2/m, No. 10; energy relative to the elements, uncorrected = -2.493 eV per atom; total magnetization = 0.50 μB/atom
1.0
5.978 0.000 0.000
0.000 3.454 0.000
-2.007 0.000 5.639
Na Ho Np O
2 1 1 4
direct
0.000 0.000 0.000 Na
0.500 0.500 0.000 Na
0.000 0.500 0.500 Ho
0.500 0.000 0.500 Np
0.233 0.000 0.713 O
0.257 0.500 0.284 O
0.743 0.500 0.716 O
0.767 0.000 0.287 O

2.
Y2ZrTeN PBE relaxed; SG = P4/mmm, No. 123; energy relative to the elements, uncorrected = 1.274 eV per atom; total magnetization = 0.23 μB/atom
1.0
5.646 0.000 0.000
0.000 5.646 0.000
0.000 0.000 5.259
Y Zr Te N
2 1 1 1
direct
0.000 0.500 0.000 Y
0.500 0.000 0.000 Y
0.000 0.000 0.500 Zr
0.000 0.000 0.000 Te
0.500 0.500 0.500 N